[1]
HfBeOs2, relaxed, DFT GGA-PBE; space group = I-42d (122); formation enthalpy at 0 K = 299 meV/atom
1.0
3.9887 0.0000 0.0000
0.0000 3.9887 0.0000
1.9944 1.9944 8.4706
Hf Os Be
2 4 2
Cartesian
0.0000 0.0000 0.0000
3.9887 1.9944 4.2353
1.3174 0.9972 2.1176
2.6714 2.9915 2.1176
2.9915 4.6657 6.3529
4.9859 3.3117 6.3529
1.9944 1.9944 0.0000
1.9944 3.9887 4.2353

[2]
Ba2AcPt, relaxed, DFT GGA-PBE; space group = Pmn2_1 (31); formation enthalpy at 0 K = -591 meV/atom; ΔE to the lowest computed polymorph = 0.0000 eV/atom
1.0
-1.7117 3.5643 1.9043
-1.0167 -2.3814 3.5434
17.5215 4.2101 7.8570
Ba Pt Ac
4 2 2
Cartesian
10.8631 3.8062 10.2233
-0.6513 1.0335 5.0614
15.2659 3.9416 8.8652
3.7535 1.1736 3.6963
8.0637 3.1345 8.9618
6.5555 1.8514 4.9488
5.3351 2.4773 7.7374
9.2840 2.5083 6.1735

[3]
CePrTm2, relaxed, DFT GGA-PBE; space group = R3m (160); formation enthalpy at 0 K = 59 meV/atom; ΔE to the lowest computed polymorph = 0.0000 eV/atom
1.0
-3.3297 -1.0545 0.6053
-0.6459 -3.3327 1.0206
-0.3322 1.7112 11.5334
Pr Tm Ce
1 2 1
Cartesian
-2.1556 -1.3435 6.5607
-1.0852 -0.6954 3.1982
-0.5713 0.9471 8.8871
-2.6496 -2.9222 1.0929

[4]
Ce2Dy3TaN6, relaxed, DFT GGA-PBE; formation energy from raw total energies = -1.516 eV per atom; space group = C2/m (12)
1.0
-1.4738 -1.0615 -5.6697
3.3394 -3.9190 2.9890
-5.2347 -0.9908 2.5829
N Dy Ta Ce
6 3 1 2
Cartesian
-0.0473 -1.8346 1.3220
-3.3218 -4.1367 -1.4198
-3.5415 -1.8950 1.3433
-1.5380 -0.9496 -1.3596
-1.8312 -5.0217 1.2617
0.1724 -4.0764 -1.4411
-1.6846 -2.9857 -0.0489
-0.0709 -3.9437 2.8540
-3.2983 -2.0276 -2.9519
0.0000 0.0000 0.0000
0.1319 -2.0148 -2.7811
1.7337 -2.9657 0.1004

[5]
Ca2TiRuAu, relaxed, DFT GGA-PBE; space group = P4/mmm (123); formation enthalpy at 0 K = 892 meV/atom
1.0
5.3220 0.0000 0.0000
0.0000 5.0617 0.0000
0.0000 0.0000 5.3220
Ca Au Ru Ti
2 1 1 1
Cartesian
0.0000 0.0000 2.6610
2.6610 0.0000 0.0000
0.0000 0.0000 0.0000
0.0000 2.5308 0.0000
2.6610 2.5308 2.6610

[6]
ZnSb2O5, relaxed, DFT GGA-PBE; formation energy from raw total energies = -1.075 eV per atom; space group = Cmcm (63); ΔE to the lowest computed polymorph = 0.0800 eV/atom
1.0
1.9719 -5.1139 0.0000
1.9719 5.1139 0.0000
0.0000 0.0000 13.4595
Zn O Sb
2 10 4
Cartesian
1.9719 4.2503 3.3649
1.9719 -4.2503 10.0946
1.9719 4.8663 11.6554
1.9719 2.5934 1.1807
1.9719 2.0318 10.0946
1.9719 4.8663 8.5338
1.9719 -2.0318 3.3649
1.9719 -4.8663 1.8040
1.9719 -2.5934 7.9104
1.9719 -2.5934 12.2788
1.9719 -4.8663 4.9257
1.9719 2.5934 5.5491
1.9719 -3.0047 1.4758
1.9719 3.0047 8.2055
1.9719 -3.0047 5.2540
1.9719 3.0047 11.9837

[7]
CoCuRe2, relaxed, DFT GGA-PBE; space group = Fm-3m (225); formation enthalpy at 0 K = 459 meV/atom; ΔE to the lowest computed polymorph = 0.2992 eV/atom
1.0
4.2045 0.0000 0.0000
2.1023 3.6412 0.0000
2.1023 1.2137 3.4330
Re Co Cu
2 1 1
Cartesian
6.3068 3.6412 2.5747
2.1023 1.2137 0.8582
0.0000 0.0000 0.0000
4.2045 2.4275 1.7165

[8]
Li2PaBe2O6, relaxed, DFT GGA-PBE; formation energy from raw total energies = -2.481 eV per atom; space group = P-3 (147)
1.0
5.1714 0.0000 0.0000
-2.5857 4.4786 0.0000
0.0000 0.0000 6.3058
O Li Be Pa
6 2 2 1
Cartesian
-1.5442 3.0449 5.0350
1.7624 0.1851 1.2708
4.1299 1.4337 1.2708
0.8233 4.2935 5.0350
0.7209 1.6188 5.0350
1.8648 2.8598 1.2708
0.0000 2.9857 1.7821
2.5857 1.4929 4.5237
0.0000 2.9857 5.0241
2.5857 1.4929 1.2817
0.0000 0.0000 0.0000

Values of VASP energy, in order: -8.735, -4.090, -4.855, -8.806, -3.999, -5.363, -8.566, -7.074, all in eV per atom.
Values of total magnetization, in order: 0.0, 0.0, 0.6, 0.0, 1.2, 0.0, 1.6, 1.1, all in μB per cell.